[1]
First-principles (GGA-PBE) data for Mg2AuCl after structural relaxation, as listed in the Alexandria database.

The calculation puts the calculated total energy at -10.62 eV per cell. As for the theoretical density: 5.0 Mg/m³. Its polymorph energy (0 for the lowest one) is 0.274 eV per atom. The density of states at the Fermi level comes out at 0.338 states/eV per atom. The uncorrected formation energy comes out at -0.58 eV per atom.

It has space group P4mm (No. 99), with a = 3.241 Å, b = 3.241 Å, c = 8.886 Å, α = 90.00°, β = 90.00° and γ = 90.00°. The distinct sites, in fractional coordinates, are Mg at (0.000, 0.000, 0.000), Mg at (0.500, 0.500, 0.277), Au at (0.000, 0.000, 0.445) and Cl at (0.500, 0.500, 0.846).

[2]
First-principles (GGA-PBE) data for Ce8Te4As3 after structural relaxation, as listed in the Alexandria database.

The calculation puts the calculated total energy at -184.17 eV per cell. As for the theoretical density: 6.7 Mg/m³. The density of states at the Fermi level comes out at 3.552 states/eV per atom. The uncorrected formation energy comes out at -1.21 eV per atom.

It has space group C2/m (No. 12), with a = 12.270 Å, b = 12.284 Å, c = 8.654 Å, α = 90.00°, β = 134.72° and γ = 90.00°. The distinct sites, in fractional coordinates, are Ce at (0.000, 0.242, 0.000), Ce at (0.000, 0.243, 0.500), Ce at (0.232, 0.000, 0.483), Ce at (0.234, 0.000, 0.987), Te at (0.000, 0.500, 0.000), Te at (0.000, 0.500, 0.500), Te at (0.250, 0.250, 0.000), As at (0.000, 0.000, 0.000) and As at (0.250, 0.250, 0.500).

[3]
First-principles (GGA-PBE) data for YTm2Al4 after structural relaxation, as listed in the Alexandria database.

The value obtained for the formation enthalpy at 0 K is -3.04 eV/f.u. The calculation puts the calculated total energy at -66.84 eV per cell. As for the theoretical density: 5.7 Mg/m³. The density of states at the Fermi level comes out at 0.809 states/eV per atom.

It has space group Immm (No. 71), with a = 3.557 Å, b = 4.501 Å, c = 19.511 Å, α = 90.00°, β = 90.00° and γ = 90.00°. The distinct sites, in fractional coordinates, are Y at (0.000, 0.000, 0.000), Tm at (0.000, 0.500, 0.197), Al at (0.000, 0.000, 0.433) and Al at (0.000, 0.500, 0.359).

[4]
First-principles (GGA-PBE) data for Tb3Nd5Y after structural relaxation, as listed in the Alexandria database.

The value obtained for the formation enthalpy at 0 K is 1.50 eV/f.u. The calculation puts the calculated total energy at -170.77 eV per cell. As for the theoretical density: 6.9 Mg/m³. Its polymorph energy (0 for the lowest one) is 0.000 eV per atom. The density of states at the Fermi level comes out at 1.405 states/eV per atom.

It has space group C2/c (No. 15), with a = 16.565 Å, b = 6.812 Å, c = 11.702 Å, α = 90.00°, β = 110.32° and γ = 90.00°. The distinct sites, in fractional coordinates, are Tb at (0.000, 0.000, 0.000), Tb at (0.239, 0.401, 0.372), Nd at (0.000, 0.312, 0.750), Nd at (0.110, 0.500, 0.050), Nd at (0.173, 0.092, 0.847) and Y at (0.000, 0.238, 0.250).

- Which of these has the highest calculated total energy?
  Mg2AuCl

- Which of these has the highest calculated total energy?
  Mg2AuCl

- Which of these has the highest theoretical density?
  Tb3Nd5Y